# LaAs3Se

An optimized crystal structure of LaAs3Se (PBE-GGA, the Alexandria database).

```
LaAs3Se
1.0
5.0393 0.0000 0.0000
0.0000 5.0393 0.0000
0.0000 0.0000 5.0393
As Se La
3 1 1
direct
0.0000 0.5000 0.0000
0.5000 0.0000 0.0000
0.0000 0.0000 0.5000
0.0000 0.0000 0.0000
0.5000 0.5000 0.5000
```

Summary:
Space group: Pm-3m (221)
Density: 5.7 Mg/m³

=====

# La2AsSe

An optimized crystal structure of La2AsSe (PBE-GGA, the Alexandria database).

```
La2AsSe
1.0
6.7762 0.0000 0.0000
0.0000 6.7762 0.0000
3.3881 3.3881 6.8121
Se La As
2 4 2
direct
0.7500 0.2500 0.5000
0.0000 0.0000 0.0000
0.3750 0.3821 0.7500
0.1321 0.6250 0.2500
0.8750 0.8679 0.7500
0.6179 0.1250 0.2500
0.5000 0.5000 0.0000
0.2500 0.7500 0.5000
```

Summary:
Space group: I-42d (122)
Density: 4.6 Mg/m³

=====

# La2AsSe

An optimized crystal structure of La2AsSe (PBE-GGA, the Alexandria database).

```
La2AsSe
1.0
-1.0575 1.8695 3.6732
-3.8264 1.8080 0.4428
-4.4144 -5.2865 3.8843
As Se La
1 1 2
direct
0.6677 0.6677 0.9968
0.4987 0.4987 0.5039
0.2561 0.2561 0.2318
0.0775 0.0775 0.7675
```

Summary:
Space group: R3m (160)
Density: 6.1 Mg/m³

=====

no.,total DFT energy (no corrections) (eV/atom),E_form (uncorrected) (eV/atom),excess energy over the best structure of this formula in the dataset (meV/atom)
1,-4.55,-0.08,0
2,-5.80,-1.30,537
3,-6.24,-1.74,99